Computed, not measured: a geometry-optimized PmNd5Pb5 structure at the PBE level of DFT.

Lattice parameters (Å, degrees): 6.4288 7.9965 8.8340 106.01 90.00 113.70
Closest atoms and distances in Å follow each position.
Fractional coordinates of all 11 atoms:
Nd: 0.0000 0.0000 0.5000  4 Pb 3.17-3.18
Nd: 0.6667 0.3333 0.3349  5 Pb 3.21-3.23
Nd: 0.3327 0.6654 0.1676  5 Pb 3.21-3.24
Nd: 0.3333 0.6667 0.6651  5 Pb 3.21-3.23
Nd: 0.6673 0.3346 0.8324  5 Pb 3.21-3.24
Pb: 0.1645 0.3290 0.3341  5 Nd 3.17-3.23, 1 Pm 3.20
Pb: 0.5000 0.0000 0.0000  2 Pm 3.21, 4 Nd 3.22
Pb: 0.1647 0.3293 0.8304  5 Nd 3.18-3.24, 1 Pm 3.20
Pb: 0.8355 0.6710 0.6659  5 Nd 3.17-3.23, 1 Pm 3.20
Pb: 0.8353 0.6707 0.1696  5 Nd 3.18-3.24, 1 Pm 3.20
Pm: 0.0000 0.0000 0.0000  6 Pb 3.20-3.21

- ΔH_f (0 K): -337 meV per atom
- Symmetry: C2/m (12)